(1)
! LaIr2Ru | Alexandria via LeMat-Bulk | GGA-PBE | optimized geometry; values from VASP
&SYSTEM
  ibrav = 0, nat = 4, ntyp = 3
/
ATOMIC_SPECIES
La 138.91 La.upf
Ru 101.07 Ru.upf
Ir 192.22 Ir.upf
ATOMIC_POSITIONS crystal
La 0.5000 0.5000 0.5000
Ru 0.0000 0.0000 0.5000
Ir 0.5000 0.5000 0.0000
Ir 0.0000 0.0000 0.0000
CELL_PARAMETERS angstrom
-2.3577 1.6128 -0.7396
-2.7722 -4.0262 0.0576
-2.8803 -2.0514 4.7081
! ΔE_f: 0.3 eV per formula unit
! calculated density: 14.905 Mg/m³
! energy above the most stable polymorph in this dataset: 55 meV/atom
! energy: -7.92 eV per atom
! space-group type: P2/m

(2)
! BaTlNO2 | Alexandria via LeMat-Bulk | GGA-PBE | optimized geometry; values from VASP
&SYSTEM
  ibrav = 0, nat = 5, ntyp = 4
/
ATOMIC_SPECIES
O 16.00 O.upf
Tl 204.38 Tl.upf
Ba 137.33 Ba.upf
N 14.01 N.upf
ATOMIC_POSITIONS crystal
O 0.0000 0.5000 0.0000
O 0.5000 0.0000 0.0000
Tl 0.0000 0.0000 0.0000
Ba 0.5000 0.5000 0.5000
N 0.0000 0.0000 0.5000
CELL_PARAMETERS angstrom
4.4716 0.0000 0.0000
0.0000 4.4716 0.0000
0.0000 0.0000 4.3267
! calculated density: 7.442 Mg/m³
! energy: -4.91 eV per atom
! energy relative to the elements, uncorrected: -409 meV per atom
! space-group type: P4/mmm

(3)
! Sc2TaAs | Alexandria via LeMat-Bulk | GGA-PBE | optimized geometry; values from VASP
&SYSTEM
  ibrav = 0, nat = 4, ntyp = 3
/
ATOMIC_SPECIES
Sc 44.96 Sc.upf
As 74.92 As.upf
Ta 180.95 Ta.upf
ATOMIC_POSITIONS crystal
Sc 0.0000 0.0000 0.5174
Sc 0.0000 0.0000 0.9826
As 0.5000 0.5000 0.7500
Ta 0.5000 0.5000 0.2500
CELL_PARAMETERS angstrom
-1.5999 -0.9237 -2.4979
1.9973 -2.3274 0.4961
-5.6428 -3.7747 5.0100
! ΔE_f: -1.2 eV per formula unit
! calculated density: 7.257 Mg/m³
! energy: -7.60 eV per atom
! space-group type: Cmmm

(4)
! In2BTe | Alexandria via LeMat-Bulk | GGA-PBE | optimized geometry; values from VASP
&SYSTEM
  ibrav = 0, nat = 8, ntyp = 3
/
ATOMIC_SPECIES
In 114.82 In.upf
Te 127.60 Te.upf
B 10.81 B.upf
ATOMIC_POSITIONS crystal
In 0.3750 0.4708 0.7500
In 0.8750 0.7792 0.7500
In 0.5292 0.1250 0.2500
In 0.2208 0.6250 0.2500
Te 0.0000 0.0000 0.0000
Te 0.7500 0.2500 0.5000
B 0.5000 0.5000 0.0000
B 0.2500 0.7500 0.5000
CELL_PARAMETERS angstrom
-2.7383 4.9080 -2.4304
1.6285 -1.8647 -5.6004
-5.4511 -1.4286 -4.4568
! calculated density: 5.686 Mg/m³
! energy above the most stable polymorph in this dataset: 0 meV/atom
! energy: -3.52 eV per atom
! energy relative to the elements, uncorrected: 305 meV per atom
! space-group type: I-42d